Cs2GaOF6 | PBE | optimized geometry

## Properties
The calculated volume comes out at 177.65 Å³/f.u. For the energy, the calculation gives -81.8 eV per cell. As for the density of states at the Fermi level: 0.0 states/eV/f.u. As for the uncorrected formation energy: -193.0 kJ per mole of atoms.

abc: 6.0336 6.0336 9.7597
angles: 90.00 90.00 90.00
Space group I4/mmm (No. 139)
One atom of each set of equivalent atoms:
Cs: 0.0000 0.5000 0.2500 (multiplicity 4)
Ga: 0.0000 0.0000 0.0000 (multiplicity 2)
O: 0.0000 0.0000 0.5000 (multiplicity 2)
F: 0.0000 0.0000 0.1934 (multiplicity 4)
F: 0.2302 0.2302 0.0000 (multiplicity 8)